A plane-wave DFT calculation with PBE with a Hubbard U was carried out for an optimized crystal structure of HfFe2MoF.

Lattice parameters (Å, degrees): 5.0610 5.0610 3.9647 90.00 90.00 90.00
Space group P4/mmm (No. 123)
Asymmetric unit:
Hf 0.0000 0.0000 0.0000
Fe 0.0000 0.5000 0.5000
Mo 0.5000 0.5000 0.5000
F 0.5000 0.5000 0.0000

Properties
**Final energy**: -5.286 eV/atom